{"formula": "Nd2SmHo5Th", "functional": "PBE", "state": "relaxed", "lattice": [[-3.4738, -0.0566, -4.4341], [-2.2321, -8.5858, 5.4364], [-7.3004, 5.4750, 5.6495]], "species": ["Ho", "Ho", "Ho", "Ho", "Ho", "Ho", "Ho", "Ho", "Ho", "Ho", "Th", "Th", "Nd", "Nd", "Nd", "Nd", "Sm", "Sm"], "fractional_positions": [[0.9841, 0.9682, 0.5273], [0.7191, 0.4382, 0.8120], [0.4777, 0.9554, 0.7364], [0.3945, 0.7891, 0.0235], [0.6055, 0.2109, 0.5235], [0.3000, 0.6000, 0.7080], [0.5223, 0.0446, 0.2364], [0.7000, 0.4000, 0.2080], [0.0159, 0.0318, 0.0273], [0.2809, 0.5618, 0.3120], [0.4173, 0.8346, 0.4537], [0.5827, 0.1654, 0.9537], [0.8854, 0.7709, 0.2326], [0.1146, 0.2291, 0.7326], [0.8845, 0.7690, 0.8211], [0.1155, 0.2310, 0.3211], [0.2012, 0.4025, 0.0094], [0.7988, 0.5975, 0.5094]], "total_magnetization_mub_per_cell": 0.0, "vol_a3_per_atom": 33.6, "delta_e_f_mev_per_atom": 169, "final_energy_ev_per_cell": -86.1, "space_group": "No. 36", "dos_ef_per_ev_cell": 26.9}